# BaYFe2

BaYFe2 after structural relaxation (GGA-PBEsol, the Alexandria database).

Values from the calculation:
The value obtained for the density is 5.84 Mg/m³. The calculation puts the energy above the most stable polymorph in this dataset at 0.00 kJ per mole of atoms. The energy is -25.04 eV per cell. For the calculated volume, the calculation gives 96.1 Å³ per cell.

Cell lengths 3.7157, 3.7157, 6.9591 Å; angles 90.00, 90.00, 90.00 degrees
Last column: nearest neighbours and their distance in Å.
Space group P4/mmm (No. 123)
Inequivalent atoms, fractional coordinates:
Ba: 0.0000 0.0000 0.0000 (multiplicity 1)  2 Y 3.48, 8 Fe 3.53, 4 Ba 3.72
Y: 0.0000 0.0000 0.5000 (multiplicity 1)  8 Fe 2.86
Fe: 0.5000 0.5000 0.3382 (multiplicity 2)  1 Fe 2.25